Computed, not measured: a relaxed Pa4Co12SnB3 crystal at the PBE-GGA level of DFT.

Calculated values
For the formation energy, the calculation gives -0.14 eV per atom.

a b c (Å): 7.1199 7.1199 7.1199
angles (deg): 109.47 109.47 109.47
Positions (direct):
Pa: 0.0000 0.0000 0.5000
Pa: 0.0000 0.5000 0.0000
Pa: 0.5000 0.0000 0.0000
Pa: 0.5000 0.5000 0.5000
Co: 0.0000 0.2845 0.2845
Co: 0.0000 0.7155 0.7155
Co: 0.2500 0.5000 0.7500
Co: 0.2500 0.7500 0.5000
Co: 0.2845 0.0000 0.2845
Co: 0.2845 0.2845 0.0000
Co: 0.5000 0.2500 0.7500
Co: 0.5000 0.7500 0.2500
Co: 0.7155 0.0000 0.7155
Co: 0.7155 0.7155 0.0000
Co: 0.7500 0.2500 0.5000
Co: 0.7500 0.5000 0.2500
Sn: 0.0000 0.0000 0.0000
B: 0.0000 0.5000 0.5000
B: 0.5000 0.0000 0.5000
B: 0.5000 0.5000 0.0000